[1]
# NaSr2YF8

A geometry-optimized NaSr2YF8 structure (PBE, Alexandria via LeMat-Bulk).

Output
Fermi-level density of states = 0.00 states/eV per cell
total DFT energy (no corrections) = -71.86 eV per formula unit
formation energy without anion corrections = -45.74 eV per formula unit

abc: 5.680 5.680 11.401
angles: 90.00 90.00 90.00
Space group I-4m2 (No. 119)
Unique sites:
Na: 0.000 0.000 0.000
Sr: 0.000 0.000 0.500
Sr: 0.000 0.500 0.750
Y: 0.000 0.500 0.250
F: 0.236 0.263 0.368

[2]
# SrTe3O

A geometry-optimized SrTe3O structure (PBE, Alexandria via LeMat-Bulk).

Output
Fermi-level density of states = 17.04 states/eV per cell
excess energy over the best structure of this formula in the dataset = 1547.6 meV/atom
total DFT energy (no corrections) = -11.49 eV per formula unit
formation energy without anion corrections = 4.58 eV per formula unit

abc: 6.085 6.085 6.085
angles: 90.00 90.00 90.00
Space group Pm-3m (No. 221)
Unique sites:
Sr: 0.000 0.000 0.000
Te: 0.000 0.000 0.500
O: 0.500 0.500 0.500